First-principles (GGA-PBE) data for an optimized crystal structure of TlInNi2, as listed in Alexandria via LeMat-Bulk.

Cell lengths 4.518, 4.518, 4.518 Å; angles 60.00, 60.00, 60.00 degrees
Positions (direct):
1 Tl 0.000 0.000 0.000
2 In 0.500 0.500 0.500
3 Ni 0.250 0.250 0.250
4 Ni 0.750 0.750 0.750

**Formation energy**: 148 meV per atom
**DOS at the Fermi energy**: 2.47 states/eV per cell